# 1
TaRe2, relaxed, DFT PBE-GGA; calculated formation energy = -36 meV per atom
1.0
-2.600 3.581 0.193
-5.318 -3.600 -4.861
-2.537 -2.074 4.312
Re Ta
8 4
Cartesian
-2.014 -0.032 -1.129
-4.111 -1.507 -2.010
-3.175 1.738 1.236
-7.188 -1.035 -1.397
-3.267 -1.059 1.041
-7.280 -3.831 -1.591
-6.344 -0.586 1.654
-8.441 -2.062 0.773
-5.930 -2.739 -3.674
-4.995 0.506 -0.427
-5.460 -2.599 0.071
-4.525 0.645 3.318

# 2
Ta2Re, relaxed, DFT PBE-GGA; calculated formation energy = -254 meV per atom
1.0
1.606 5.140 0.001
-1.606 5.140 0.001
0.000 2.152 6.160
Ta Re
4 2
Cartesian
0.000 9.804 3.643
0.000 5.661 1.487
0.000 6.770 4.675
0.000 2.626 2.519
0.000 3.693 5.643
0.000 8.738 0.519

Which of these has the highest calculated formation energy? TaRe2